Here is crystalline TiBeCoCu at its relaxed geometry from Alexandria via LeMat-Bulk. Energies are from PBE-GGA.

Computed properties:
* energy relative to the elements: -0.175 eV per atom
* E_tot: -23.52 eV for the cell shown
* space group: No. 216

a = 4.039 Å, b = 4.039 Å, c = 4.039 Å
α = 60.00°, β = 60.00°, γ = 60.00°
Fractional positions:
Ti1 0.000 0.000 0.000
Be1 0.500 0.500 0.500
Co1 0.750 0.750 0.750
Cu1 0.250 0.250 0.250